1.
Density functional theory data (GGA-PBE) for a relaxed structure of Mn2AsP.

Computed properties:
spin magnetization: 3.29 μB per formula unit
D(E_F): 3.1 states/eV/cell
formation energy from the elements: -26.5 meV per atom
space group: R-3m (166)
calculated total energy: -28.50 eV for the cell shown

a = 7.2794 Å, b = 7.2794 Å, c = 7.2794 Å
α = 23.03°, β = 23.03°, γ = 23.03°
Element x y z (fractional)
As1 0.7500 0.7500 0.7500
Mn1 0.9942 0.9942 0.9942
Mn2 0.5058 0.5058 0.5058
P1 0.2500 0.2500 0.2500

2.
Density functional theory data (GGA-PBE) for a relaxed structure of BaSmBi4O8.

Computed properties:
spin magnetization: 0.00 μB per formula unit
D(E_F): 1.4 states/eV/cell
space group: R3m (160)
calculated total energy: -85.41 eV for the cell shown

a = 7.2833 Å, b = 7.2833 Å, c = 7.2378 Å
α = 59.79°, β = 59.79°, γ = 60.00°
Element x y z (fractional)
Ba1 0.3749 0.3749 0.8754
Sm1 0.0006 0.0006 0.9983
Bi1 0.6159 0.6159 0.1524
Bi2 0.0011 0.4946 0.5032
Bi3 0.4946 0.0011 0.5032
Bi4 0.0011 0.0011 0.5032
O1 0.2334 0.8122 0.7210
O2 0.8122 0.2334 0.7210
O3 0.2334 0.2334 0.7210
O4 0.2274 0.2274 0.3179
O5 0.7724 0.2226 0.2326
O6 0.2226 0.7724 0.2326
O7 0.7724 0.7724 0.2326
O8 0.7382 0.7382 0.7855

3.
Density functional theory data (GGA-PBE) for a relaxed structure of Ti2MnZn.

Computed properties:
spin magnetization: 1.31 μB per formula unit
D(E_F): 2.8 states/eV/cell
formation energy from the elements: 430.6 meV per atom
space group: Immm (71)
calculated total energy: -24.51 eV for the cell shown

a = 5.6900 Å, b = 5.6900 Å, c = 5.6900 Å
α = 152.47°, β = 56.28°, γ = 131.94°
Element x y z (fractional)
Ti1 0.7606 0.0000 0.7606
Ti2 0.2394 0.0000 0.2394
Mn1 0.0000 0.0000 0.0000
Zn1 0.5000 0.0000 0.5000

4.
Density functional theory data (GGA-PBE) for a relaxed structure of Nd2OsRh.

Computed properties:
spin magnetization: 0.00 μB per formula unit
D(E_F): 1.5 states/eV/cell
formation energy from the elements: -235.8 meV per atom
space group: P4/mmm (123)
calculated total energy: -29.06 eV for the cell shown

a = 3.5309 Å, b = 3.5309 Å, c = 7.0540 Å
α = 90.00°, β = 90.00°, γ = 90.00°
Element x y z (fractional)
Nd1 0.0000 0.0000 0.7530
Nd2 0.0000 0.0000 0.2470
Os1 0.5000 0.5000 0.0000
Rh1 0.5000 0.5000 0.5000

5.
Density functional theory data (GGA-PBE) for a relaxed structure of DyUN3.

Computed properties:
spin magnetization: 0.04 μB per formula unit
D(E_F): 4.1 states/eV/cell
space group: Cmmm (65)
calculated total energy: -94.11 eV for the cell shown

a = 3.5199 Å, b = 6.7482 Å, c = 6.7482 Å
α = 108.50°, β = 90.00°, γ = 90.00°
Element x y z (fractional)
Dy1 0.5000 0.0005 0.0005
Dy2 0.5000 0.5002 0.5002
U1 0.0000 0.5002 0.0002
U2 0.0000 0.0002 0.5002
N1 0.5000 0.5756 0.8483
N2 0.5000 0.8483 0.5756
N3 0.0000 0.8431 0.1573
N4 0.0000 0.1573 0.8431
N5 0.5000 0.4246 0.1520
N6 0.5000 0.1520 0.4246

6.
Density functional theory data (GGA-PBE) for a relaxed structure of BaLi2Mg5.

Computed properties:
spin magnetization: 0.00 μB per formula unit
D(E_F): 5.4 states/eV/cell
formation energy from the elements: -0.2 meV per atom
space group: Immm (71)
calculated total energy: -13.73 eV for the cell shown

a = 4.6813 Å, b = 7.2909 Å, c = 7.2909 Å
α = 72.48°, β = 71.27°, γ = 71.27°
Element x y z (fractional)
Ba1 0.0000 0.0000 0.0000
Li1 0.7444 0.7556 0.7556
Li2 0.2556 0.2444 0.2444
Mg1 0.0000 0.5000 0.5000
Mg2 0.6509 0.5315 0.1667
Mg3 0.3491 0.4685 0.8333
Mg4 0.3491 0.8333 0.4685
Mg5 0.6509 0.1667 0.5315

7.
Density functional theory data (GGA-PBE) for a relaxed structure of Na2YTi.

Computed properties:
spin magnetization: 2.17 μB per formula unit
D(E_F): 5.5 states/eV/cell
formation energy from the elements: 762.4 meV per atom
space group: Fm-3m (225)
calculated total energy: -13.95 eV for the cell shown

a = 5.3892 Å, b = 5.3892 Å, c = 5.3892 Å
α = 60.00°, β = 60.00°, γ = 60.00°
Element x y z (fractional)
Y1 0.5000 0.5000 0.5000
Na1 0.2500 0.2500 0.2500
Na2 0.7500 0.7500 0.7500
Ti1 0.0000 0.0000 0.0000

8.
Density functional theory data (GGA-PBE) for a relaxed structure of Tm4Te3Pd.

Computed properties:
spin magnetization: 0.00 μB per formula unit
D(E_F): 6.3 states/eV/cell
space group: P2/c (13)
calculated total energy: -83.16 eV for the cell shown

a = 7.2485 Å, b = 7.5855 Å, c = 8.5943 Å
α = 90.00°, β = 90.00°, γ = 108.94°
Element x y z (fractional)
Tm1 0.9757 0.2300 0.6568
Tm2 0.5092 0.2172 0.8868
Tm3 0.4757 0.2300 0.3432
Tm4 0.0092 0.2172 0.1132
Tm5 0.9908 0.7828 0.8868
Tm6 0.5243 0.7700 0.6568
Tm7 0.4908 0.7828 0.1132
Tm8 0.0243 0.7700 0.3432
Te1 0.7500 0.0000 0.3843
Te2 0.2500 0.0000 0.6157
Te3 0.7500 0.5000 0.6101
Te4 0.7500 0.5000 0.1238
Te5 0.2500 0.5000 0.3899
Te6 0.2500 0.5000 0.8762
Pd1 0.7500 0.0000 0.8870
Pd2 0.2500 0.0000 0.1130

9.
Density functional theory data (GGA-PBE) for a relaxed structure of SrFeRu.

Computed properties:
spin magnetization: 2.12 μB per formula unit
D(E_F): 6.6 states/eV/cell
formation energy from the elements: 311.6 meV per atom
space group: P-1 (2)
calculated total energy: -36.97 eV for the cell shown

a = 3.9525 Å, b = 4.6341 Å, c = 9.9364 Å
α = 96.10°, β = 101.67°, γ = 115.26°
Element x y z (fractional)
Sr1 0.7422 0.5090 0.2466
Sr2 0.7556 0.1574 0.6371
Fe1 0.8885 0.0070 0.0455
Fe2 0.6096 0.6594 0.8381
Ru1 0.3813 0.1246 0.9160
Ru2 0.1170 0.5419 0.9677

10.
Density functional theory data (GGA-PBE) for a relaxed structure of Ba5H4S2.

Computed properties:
spin magnetization: 2.02 μB per formula unit
D(E_F): 4.8 states/eV/cell
space group: R-3m (166)
calculated total energy: -42.11 eV for the cell shown

a = 4.5300 Å, b = 4.5300 Å, c = 18.1507 Å
α = 82.83°, β = 82.83°, γ = 60.00°
Element x y z (fractional)
Ba1 0.7643 0.7643 0.7070
Ba2 0.6372 0.6372 0.0885
Ba3 0.5000 0.5000 0.5000
Ba4 0.3628 0.3628 0.9115
Ba5 0.2357 0.2357 0.2930
H1 0.6896 0.6896 0.9313
H2 0.5878 0.5878 0.2367
H3 0.4122 0.4122 0.7633
H4 0.3104 0.3104 0.0687
S1 0.1320 0.1320 0.6040
S2 0.8680 0.8680 0.3960

11.
Density functional theory data (GGA-PBE) for a relaxed structure of TbTlIn2Cl6.

Computed properties:
spin magnetization: 0.00 μB per formula unit
D(E_F): 0.0 states/eV/cell
space group: R3 (146)
calculated total energy: -38.17 eV for the cell shown

a = 7.8397 Å, b = 7.8388 Å, c = 8.0352 Å
α = 60.78°, β = 60.79°, γ = 59.96°
Element x y z (fractional)
Tb1 0.3216 0.3215 0.0352
Tl1 0.8116 0.8117 0.5650
In1 0.5277 0.5277 0.4174
In2 0.0198 0.0200 0.9398
Cl1 0.5630 0.2019 0.2429
Cl2 0.2017 0.9922 0.2432
Cl3 0.9921 0.5633 0.2427
Cl4 0.4245 0.6651 0.7762
Cl5 0.6654 0.1337 0.7765
Cl6 0.1343 0.4244 0.7762

12.
Density functional theory data (GGA-PBE) for a relaxed structure of Cs2BaSrF6.

Computed properties:
spin magnetization: 0.24 μB per formula unit
D(E_F): 0.0 states/eV/cell
space group: P2_1/c (14)
calculated total energy: -100.87 eV for the cell shown

a = 6.9423 Å, b = 6.9874 Å, c = 9.8345 Å
α = 90.00°, β = 90.16°, γ = 90.00°
Element x y z (fractional)
Cs1 0.0077 0.9711 0.2497
Cs2 0.5077 0.5289 0.7497
Cs3 0.9923 0.0289 0.7503
Cs4 0.4923 0.4711 0.2503
Ba1 0.5000 0.0000 0.0000
Ba2 0.0000 0.5000 0.5000
Sr1 0.5000 0.0000 0.5000
Sr2 0.0000 0.5000 0.0000
F1 0.2758 0.7084 0.0393
F2 0.7758 0.7916 0.5393
F3 0.7242 0.2916 0.9607
F4 0.2242 0.2084 0.4607
F5 0.2933 0.7237 0.4591
F6 0.7933 0.7763 0.9591
F7 0.7067 0.2763 0.5409
F8 0.2067 0.2237 0.0409
F9 0.9255 0.5241 0.2415
F10 0.4255 0.9759 0.7415
F11 0.0745 0.4759 0.7585
F12 0.5745 0.0241 0.2585